Computed, not measured: a relaxed structure of Ta2PCl at the PBEsol level of DFT.

Lattice parameters (Å, degrees): 2.9984 2.9984 7.8826 90.00 90.00 112.53
Fractional coordinates of all 4 atoms:
Cl: 0.5000 0.5000 0.5000
P: 0.5000 0.5000 0.0000
Ta: 0.0000 0.0000 0.2207
Ta: 0.0000 0.0000 0.7793

Values from the calculation:
The space group is No. 65. The raw formation energy is -36 meV/atom. The energy relative to the lowest polymorph listed for this composition is 120 meV per atom. The crystal system is orthorhombic.